Version a
The following is a GGA-PBE calculation of an optimized crystal structure of Ba8Ga2Sn, from Alexandria.

Cell and atoms, written as POSCAR:
```
Ba8Ga2Sn
1.0
10.4798 -2.9620 0.0000
10.4798 2.9620 0.0000
-2.9818 0.0000 7.9517
Ba Ga Sn
8 2 1
direct
0.0325 0.0325 0.2873
0.1978 0.1978 0.8124
0.3278 0.3278 0.5375
0.4025 0.4025 0.0497
0.5975 0.5975 0.9503
0.6722 0.6722 0.4625
0.8022 0.8022 0.1876
0.9675 0.9675 0.7127
0.1822 0.1822 0.1918
0.8178 0.8178 0.8082
0.5000 0.5000 0.5000
```

Output
- SG: No. 12



Version b
The following is a GGA-PBE calculation of an optimized crystal structure of Ba8Ga2Sn, from Alexandria.

Cell and atoms, written as POSCAR:
```
Ba8Ga2Sn
1.0
-2.8578 4.7792 8.6419
2.8578 -4.7792 8.6419
2.8578 4.7792 -8.6419
Ba Ga Sn
8 2 1
direct
0.1252 0.3409 0.7843
0.1413 0.1413 0.0000
0.3179 0.0000 0.3179
0.4433 0.6591 0.7843
0.5567 0.3409 0.2157
0.6821 0.0000 0.6821
0.8587 0.8587 0.0000
0.8748 0.6591 0.2157
0.3108 0.8108 0.5000
0.6892 0.1892 0.5000
0.0000 0.5000 0.5000
```

Output
- SG: No. 71



Relative to the most stable one, in eV/atom, the structures come out at version a 0.000; version b 0.058.



Version a
The following is a GGA-PBE calculation of an optimized crystal structure of Ba2Ga2Sn3, from Alexandria.

Cell and atoms, written as POSCAR:
```
Ba2Ga2Sn3
1.0
2.6609 -10.6772 0.0000
2.6609 10.6772 0.0000
0.0000 0.0000 7.7601
Ba Ga Sn
4 4 6
direct
0.0469 0.9531 0.7500
0.1606 0.8394 0.2500
0.8394 0.1606 0.7500
0.9531 0.0469 0.2500
0.3076 0.6924 0.0615
0.3076 0.6924 0.4385
0.6924 0.3076 0.5615
0.6924 0.3076 0.9385
0.2174 0.7826 0.7500
0.4346 0.5654 0.5630
0.4346 0.5654 0.9370
0.5654 0.4346 0.0630
0.5654 0.4346 0.4370
0.7826 0.2174 0.2500
```

Output
- SG: No. 63



Version b
The following is a GGA-PBE calculation of an optimized crystal structure of Ba2Ga2Sn3, from Alexandria.

Cell and atoms, written as POSCAR:
```
Ba2Ga2Sn3
1.0
12.9999 0.0000 0.0000
0.0000 4.6476 0.0000
-1.1703 0.0000 7.2500
Ba Ga Sn
4 4 6
direct
0.1502 0.0000 0.2421
0.3498 0.5000 0.7579
0.6502 0.5000 0.2421
0.8498 0.0000 0.7579
0.0704 0.5000 0.8918
0.4296 0.0000 0.1082
0.5704 0.0000 0.8918
0.9296 0.5000 0.1082
0.0000 0.5000 0.5000
0.1431 0.0000 0.7383
0.3569 0.5000 0.2617
0.5000 0.0000 0.5000
0.6431 0.5000 0.7383
0.8569 0.0000 0.2617
```

Output
- SG: No. 12



Relative to the most stable one, in eV/atom, the structures come out at version a 0.038; version b 0.000.



Version a
The following is a GGA-PBE calculation of an optimized crystal structure of BaSr2Ga, from Alexandria.

Cell and atoms, written as POSCAR:
```
BaSr2Ga
1.0
4.0360 0.0000 0.0000
0.0000 4.0360 0.0000
0.0000 0.0000 10.6621
Ba Sr Ga
1 2 1
direct
0.0000 0.0000 0.0000
0.5000 0.5000 0.3276
0.5000 0.5000 0.6724
0.0000 0.0000 0.5000
```

Output
- SG: No. 123



Version b
The following is a GGA-PBE calculation of an optimized crystal structure of BaSr2Ga, from Alexandria.

Cell and atoms, written as POSCAR:
```
BaSr2Ga
1.0
7.5136 0.0000 0.0000
0.0000 7.5136 0.0000
0.0000 0.0000 18.7548
Ba Sr Ga
4 8 4
direct
0.0000 0.0000 0.0000
0.0000 0.5000 0.2500
0.5000 0.0000 0.7500
0.5000 0.5000 0.5000
0.0026 0.2500 0.6250
0.2500 0.5026 0.8750
0.2500 0.9974 0.3750
0.4974 0.2500 0.1250
0.5026 0.7500 0.1250
0.7500 0.0026 0.3750
0.7500 0.4974 0.8750
0.9974 0.7500 0.6250
0.0000 0.0000 0.5000
0.0000 0.5000 0.7500
0.5000 0.0000 0.2500
0.5000 0.5000 0.0000
```

Output
- SG: No. 122



Version c
The following is a GGA-PBE calculation of an optimized crystal structure of BaSr2Ga, from Alexandria.

Cell and atoms, written as POSCAR:
```
BaSr2Ga
1.0
4.3037 0.0000 0.0000
-2.1518 3.7271 0.0000
0.0000 0.0000 35.3092
Ba Sr Ga
3 6 3
direct
0.0000 0.0000 0.0000
0.3333 0.6667 0.6667
0.6667 0.3333 0.3333
0.0000 0.0000 0.2272
0.0000 0.0000 0.7728
0.3333 0.6667 0.4395
0.3333 0.6667 0.8938
0.6667 0.3333 0.1062
0.6667 0.3333 0.5605
0.0000 0.0000 0.5000
0.3333 0.6667 0.1667
0.6667 0.3333 0.8333
```

Output
- SG: No. 166



Relative to the most stable one, in eV/atom, the structures come out at version a 0.000; version b 0.565; version c 0.082.



Version a
The following is a GGA-PBE calculation of an optimized crystal structure of BaSr2Ga, from Alexandria.

Cell and atoms, written as POSCAR:
```
BaSr2Ga
1.0
5.7920 0.0000 0.0000
0.0000 5.7920 0.0000
0.0000 0.0000 20.9719
Ba Sr Ga
4 8 4
direct
0.0000 0.0000 0.1588
0.0000 0.0000 0.8412
0.5000 0.5000 0.3412
0.5000 0.5000 0.6588
0.0000 0.0000 0.3387
0.0000 0.0000 0.6613
0.0000 0.5000 0.0000
0.0000 0.5000 0.5000
0.5000 0.0000 0.0000
0.5000 0.0000 0.5000
0.5000 0.5000 0.1613
0.5000 0.5000 0.8387
0.0000 0.5000 0.2500
0.0000 0.5000 0.7500
0.5000 0.0000 0.2500
0.5000 0.0000 0.7500
```

Output
- SG: No. 139



Version b
The following is a GGA-PBE calculation of an optimized crystal structure of BaSr2Ga, from Alexandria.

Cell and atoms, written as POSCAR:
```
BaSr2Ga
1.0
4.2979 0.0000 0.0000
-2.1490 3.7221 0.0000
0.0000 0.0000 35.2215
Ba Sr Ga
3 6 3
direct
0.0000 0.0000 0.0000
0.3333 0.6667 0.6667
0.6667 0.3333 0.3333
0.0000 0.0000 0.5600
0.0000 0.0000 0.7718
0.3333 0.6667 0.2267
0.3333 0.6667 0.4384
0.6667 0.3333 0.1051
0.6667 0.3333 0.8933
0.0000 0.0000 0.1659
0.3333 0.6667 0.8326
0.6667 0.3333 0.4992
```

Output
- SG: No. 160



Version c
The following is a GGA-PBE calculation of an optimized crystal structure of BaSr2Ga, from Alexandria.

Cell and atoms, written as POSCAR:
```
BaSr2Ga
1.0
5.6454 0.0000 0.0000
0.0000 13.8210 0.0000
0.0000 0.0000 8.9768
Ba Sr Ga
4 8 4
direct
0.0000 0.0482 0.2500
0.0000 0.9518 0.7500
0.5000 0.4518 0.7500
0.5000 0.5482 0.2500
0.0000 0.3412 0.0408
0.0000 0.3412 0.4592
0.0000 0.6588 0.5408
0.0000 0.6588 0.9592
0.5000 0.1588 0.5408
0.5000 0.1588 0.9592
0.5000 0.8412 0.0408
0.5000 0.8412 0.4592
0.0000 0.1984 0.7500
0.0000 0.8016 0.2500
0.5000 0.3016 0.2500
0.5000 0.6984 0.7500
```

Output
- SG: No. 63



Version d
The following is a GGA-PBE calculation of an optimized crystal structure of BaSr2Ga, from Alexandria.

Cell and atoms, written as POSCAR:
```
BaSr2Ga
1.0
8.5586 0.0000 0.0000
0.0000 8.5586 0.0000
0.0000 0.0000 8.5586
Ba Sr Ga
4 8 4
direct
0.0000 0.0000 0.0000
0.0000 0.5000 0.5000
0.5000 0.0000 0.5000
0.5000 0.5000 0.0000
0.2500 0.2500 0.2500
0.2500 0.2500 0.7500
0.2500 0.7500 0.2500
0.2500 0.7500 0.7500
0.7500 0.2500 0.2500
0.7500 0.2500 0.7500
0.7500 0.7500 0.2500
0.7500 0.7500 0.7500
0.0000 0.0000 0.5000
0.0000 0.5000 0.0000
0.5000 0.0000 0.0000
0.5000 0.5000 0.5000
```

Output
- SG: No. 225



Relative to the most stable one, in eV/atom, the structures come out at version a 0.000; version b 0.094; version c 0.010; version d 0.213.



Version a
The following is a GGA-PBE calculation of an optimized crystal structure of BaSrGa4, from Alexandria.

Cell and atoms, written as POSCAR:
```
BaSrGa4
1.0
4.8610 0.0000 0.0000
0.0000 8.0209 0.0000
0.0000 0.0000 7.8534
Ba Sr Ga
2 2 8
direct
0.0000 0.0000 0.0000
0.5000 0.5000 0.5000
0.0000 0.5000 0.1023
0.5000 0.0000 0.6023
0.0000 0.1788 0.4012
0.0000 0.3233 0.7210
0.0000 0.6767 0.7210
0.0000 0.8212 0.4012
0.5000 0.1767 0.2210
0.5000 0.3212 0.9012
0.5000 0.6788 0.9012
0.5000 0.8233 0.2210
```

Output
- SG: No. 44



Version b
The following is a GGA-PBE calculation of an optimized crystal structure of BaSrGa4, from Alexandria.

Cell and atoms, written as POSCAR:
```
BaSrGa4
1.0
0.0000 4.1949 4.1949
4.1949 0.0000 4.1949
4.1949 4.1949 0.0000
Ba Sr Ga
1 1 4
direct
0.0000 0.0000 0.0000
0.2500 0.2500 0.2500
0.1255 0.6248 0.6248
0.6248 0.1255 0.6248
0.6248 0.6248 0.1255
0.6248 0.6248 0.6248
```

Output
- SG: No. 216



Relative to the most stable one, in eV/atom, the structures come out at version a 0.000; version b 0.093.



Version a
The following is a GGA-PBE calculation of an optimized crystal structure of BaSrGa4, from Alexandria.

Cell and atoms, written as POSCAR:
```
BaSrGa4
1.0
4.3995 0.0000 0.0000
-2.1998 3.8101 0.0000
0.0000 0.0000 9.9596
Ba Sr Ga
1 1 4
direct
0.0000 0.0000 0.0000
0.0000 0.0000 0.5000
0.3333 0.6667 0.2604
0.3333 0.6667 0.7396
0.6667 0.3333 0.2604
0.6667 0.3333 0.7396
```

Output
- SG: No. 191



Version b
The following is a GGA-PBE calculation of an optimized crystal structure of BaSrGa4, from Alexandria.

Cell and atoms, written as POSCAR:
```
BaSrGa4
1.0
4.4031 0.0000 0.0000
0.0000 7.6372 0.0000
0.0000 0.0000 10.0037
Ba Sr Ga
2 2 8
direct
0.0000 0.0000 0.0000
0.5000 0.5000 0.5000
0.0000 0.0000 0.5000
0.5000 0.5000 0.0000
0.0000 0.3336 0.2487
0.0000 0.3336 0.7513
0.0000 0.6664 0.2487
0.0000 0.6664 0.7513
0.5000 0.1664 0.2513
0.5000 0.1664 0.7487
0.5000 0.8336 0.2513
0.5000 0.8336 0.7487
```

Output
- SG: No. 71



Relative to the most stable one, in eV/atom, the structures come out at version a 0.000; version b 0.008.